## CoP2H8O10 (GGA+U)

Data for crystalline CoP2H8O10 at its relaxed geometry.

Results
Total energy in eV per cell: -246.1
Fermi-level density of states in states/eV/f.u.: 0.0
Size of the total moment in μB per cell: 6.0

Structure (POSCAR):
```
CoP2H8O10
1.0
5.352 0.000 0.000
0.000 10.034 0.000
-4.870 0.000 7.191
Co P H O
2 4 16 20
Cartesian
0.000 0.000 0.000
-2.435 5.017 3.596
-1.175 2.173 2.423
-3.610 2.844 6.019
4.092 7.190 1.172
1.657 7.861 4.768
0.627 7.277 0.081
-1.809 7.774 3.677
-1.899 0.763 6.018
0.536 4.254 2.423
1.096 5.518 1.678
-1.339 9.533 5.274
-0.555 1.087 4.297
1.880 3.930 0.702
-1.398 6.104 6.489
1.037 8.947 2.894
1.821 0.501 1.917
-0.614 4.516 5.513
-0.054 5.780 4.769
2.381 9.271 1.173
2.290 2.260 3.515
-0.145 2.757 7.110
-1.624 6.731 2.583
-4.059 8.320 6.179
-3.500 1.329 6.231
-1.065 3.688 2.636
0.234 6.736 0.870
-2.201 8.315 4.465
-0.212 1.402 3.401
-2.648 3.615 6.996
-0.917 5.368 5.087
1.518 9.683 1.491
-1.036 0.351 5.700
1.399 4.666 2.105
3.129 6.419 0.195
0.694 8.632 3.791
2.683 1.719 2.726
0.248 3.298 6.321
1.547 6.346 4.556
3.982 8.705 0.960
4.541 1.714 1.012
2.106 3.303 4.608
```